Record 1
Density functional theory data (GGA-PBE) for crystalline PrBiPtO6 at its relaxed geometry.

CIF file:
```
data_PrBiPtO6
_chemical_formula_sum 'Pr2 Bi2 Pt2 O12'
_cell_length_a 5.739
_cell_length_b 5.739
_cell_length_c 9.107
_cell_angle_alpha 90.00
_cell_angle_beta 90.00
_cell_angle_gamma 120.00
_space_group_name_H-M_alt 'P 1'
_space_group_IT_number 1
_space_group_name_Hall 'P 1'
loop_
_atom_site_label
_atom_site_type_symbol
_atom_site_fract_x
_atom_site_fract_y
_atom_site_fract_z
Pr1 Pr 0.333 0.667 0.250
Pr2 Pr 0.667 0.333 0.750
Bi1 Bi 0.000 0.000 0.000
Bi2 Bi 0.000 0.000 0.500
Pt1 Pt 0.333 0.667 0.750
Pt2 Pt 0.667 0.333 0.250
O1 O 0.048 0.371 0.626
O2 O 0.048 0.677 0.874
O3 O 0.323 0.371 0.874
O4 O 0.323 0.952 0.626
O5 O 0.371 0.048 0.126
O6 O 0.371 0.323 0.374
O7 O 0.629 0.677 0.626
O8 O 0.629 0.952 0.874
O9 O 0.677 0.048 0.374
O10 O 0.677 0.629 0.126
O11 O 0.952 0.323 0.126
O12 O 0.952 0.629 0.374
```

Values from the calculation:
E   -6.248 eV/atom
Total magnetization   0.000 μB per formula unit
Energy relative to the elements, uncorrected   -1137 kJ/mol of formula units


Record 2
Density functional theory data (GGA-PBE) for crystalline BeCr2Cd at its relaxed geometry.

CIF file:
```
data_BeCr2Cd
_chemical_formula_sum 'Be1 Cr2 Cd1'
_cell_length_a 3.037
_cell_length_b 3.037
_cell_length_c 5.732
_cell_angle_alpha 90.00
_cell_angle_beta 90.00
_cell_angle_gamma 90.00
_space_group_name_H-M_alt 'P 1'
_space_group_IT_number 1
_space_group_name_Hall 'P 1'
loop_
_atom_site_label
_atom_site_type_symbol
_atom_site_fract_x
_atom_site_fract_y
_atom_site_fract_z
Be1 Be 0.000 0.000 0.000
Cr1 Cr 0.500 0.500 0.173
Cr2 Cr 0.500 0.500 0.827
Cd1 Cd 0.000 0.000 0.500
```

Values from the calculation:
E   -5.625 eV/atom
Energy of formation   0.35 eV per atom
Energy above the lowest structure with this stoichiometry   100 meV per atom
Total magnetization   0.000 μB per formula unit


Record 3
Density functional theory data (GGA-PBE) for crystalline LiHgIr2 at its relaxed geometry.

CIF file:
```
data_LiHgIr2
_chemical_formula_sum 'Li1 Hg1 Ir2'
_cell_length_a 2.847
_cell_length_b 4.633
_cell_length_c 4.748
_cell_angle_alpha 90.00
_cell_angle_beta 90.00
_cell_angle_gamma 90.00
_space_group_name_H-M_alt 'P 1'
_space_group_IT_number 1
_space_group_name_Hall 'P 1'
loop_
_atom_site_label
_atom_site_type_symbol
_atom_site_fract_x
_atom_site_fract_y
_atom_site_fract_z
Li1 Li 0.000 0.000 0.000
Hg1 Hg 0.500 0.500 0.000
Ir1 Ir 0.000 0.500 0.500
Ir2 Ir 0.500 0.000 0.500
```

Values from the calculation:
E   -4.859 eV/atom
Energy of formation   0.12 eV per atom
Total magnetization   0.000 μB per formula unit


Record 4
Density functional theory data (GGA-PBE) for crystalline MnAuCl2 at its relaxed geometry.

CIF file:
```
data_MnAuCl2
_chemical_formula_sum 'Mn1 Au1 Cl2'
_cell_length_a 5.897
_cell_length_b 5.897
_cell_length_c 7.273
_cell_angle_alpha 123.81
_cell_angle_beta 123.81
_cell_angle_gamma 31.26
_space_group_name_H-M_alt 'P 1'
_space_group_IT_number 1
_space_group_name_Hall 'P 1'
loop_
_atom_site_label
_atom_site_type_symbol
_atom_site_fract_x
_atom_site_fract_y
_atom_site_fract_z
Mn1 Mn 0.000 0.000 0.000
Au1 Au 0.272 0.272 0.851
Cl1 Cl 0.541 0.541 0.772
Cl2 Cl 0.625 0.625 0.299
```

Values from the calculation:
E   -4.425 eV/atom
Energy above the lowest structure with this stoichiometry   45 meV per atom
Total magnetization   4.360 μB per formula unit
Energy relative to the elements, uncorrected   -151 kJ/mol of formula units


Q: What is the total magnetization in the fourth record?
A: 4.360 μB per formula unit


Q: What is the formula in the fourth record?
A: MnAuCl2